[1]
# Li6Ga2Ni PBE optimized geometry
data_Li6Ga2Ni
_chemical_formula_sum 'Li12 Ga4 Ni2'
_cell_length_a 13.156
_cell_length_b 4.235
_cell_length_c 5.082
_cell_angle_alpha 90.00
_cell_angle_beta 109.91
_cell_angle_gamma 90.00
_space_group_name_H-M_alt 'C 1 2/m 1'
_space_group_IT_number 12
_space_group_name_Hall '-C 2y'
loop_
_atom_site_label
_atom_site_fract_x
_atom_site_fract_y
_atom_site_fract_z
Li1 0.094 0.000 0.040
Li2 0.159 0.500 0.859
Li3 0.203 0.000 0.574
Ga1 0.056 0.500 0.313
Ni1 0.000 0.000 0.500
# Energy relative to the elements = -0.208 eV/atom
# ΔE to the lowest computed polymorph = 0 meV/atom
# Density = 3.0 g cm⁻³
# N(E_F) = 0.3612 states/eV/atom

[2]
# Li2GaNi3 PBE optimized geometry
data_Li2GaNi3
_chemical_formula_sum 'Li4 Ga2 Ni6'
_cell_length_a 4.8638
_cell_length_b 4.8638
_cell_length_c 7.6788
_cell_angle_alpha 90.00
_cell_angle_beta 90.00
_cell_angle_gamma 120.00
_space_group_name_H-M_alt 'P 63/m m c'
_space_group_IT_number 194
_space_group_name_Hall '-P 6c 2c'
loop_
_atom_site_label
_atom_site_fract_x
_atom_site_fract_y
_atom_site_fract_z
Li1 0.3333 0.6667 0.0723
Ga1 0.0000 0.0000 0.0000
Ni1 0.1719 0.3438 0.7500
# Energy relative to the elements = -0.201 eV/atom
# ΔE to the lowest computed polymorph = 6 meV/atom
# Density = 5.5 g cm⁻³
# N(E_F) = 0.7358 states/eV/atom

[3]
# Li2Ga2Ni PBE optimized geometry
data_Li2Ga2Ni
_chemical_formula_sum 'Li4 Ga4 Ni2'
_cell_length_a 6.184
_cell_length_b 6.184
_cell_length_c 4.258
_cell_angle_alpha 90.00
_cell_angle_beta 90.00
_cell_angle_gamma 90.00
_space_group_name_H-M_alt 'P 4/m b m'
_space_group_IT_number 127
_space_group_name_Hall '-P 4 2ab'
loop_
_atom_site_label
_atom_site_fract_x
_atom_site_fract_y
_atom_site_fract_z
Li1 0.170 0.330 0.000
Ga1 0.149 0.649 0.500
Ni1 0.000 0.000 0.500
# Energy relative to the elements = -0.185 eV/atom
# ΔE to the lowest computed polymorph = 128 meV/atom
# Density = 4.3 g cm⁻³
# N(E_F) = 0.4514 states/eV/atom

[4]
# Li3Ga4Ni2 PBE optimized geometry
data_Li3Ga4Ni2
_chemical_formula_sum 'Li6 Ga8 Ni4'
_cell_length_a 9.504
_cell_length_b 4.235
_cell_length_c 7.782
_cell_angle_alpha 90.00
_cell_angle_beta 124.72
_cell_angle_gamma 90.00
_space_group_name_H-M_alt 'C 1 2/m 1'
_space_group_IT_number 12
_space_group_name_Hall '-C 2y'
loop_
_atom_site_label
_atom_site_fract_x
_atom_site_fract_y
_atom_site_fract_z
Li1 0.000 0.000 0.000
Li2 0.161 0.500 0.670
Ga1 0.078 0.000 0.398
Ga2 0.180 0.500 0.028
Ni1 0.120 0.500 0.290
# Energy relative to the elements = -0.336 eV/atom
# ΔE to the lowest computed polymorph = 39 meV/atom
# Density = 5.4 g cm⁻³
# N(E_F) = 0.4244 states/eV/atom

[5]
# Li2GaNi4 PBE optimized geometry
data_Li2GaNi4
_chemical_formula_sum 'Li4 Ga2 Ni8'
_cell_length_a 6.046
_cell_length_b 6.046
_cell_length_c 4.483
_cell_angle_alpha 90.00
_cell_angle_beta 90.00
_cell_angle_gamma 90.00
_space_group_name_H-M_alt 'I 4/m m m'
_space_group_IT_number 139
_space_group_name_Hall '-I 4 2'
loop_
_atom_site_label
_atom_site_fract_x
_atom_site_fract_y
_atom_site_fract_z
Li1 0.000 0.500 0.250
Ga1 0.000 0.000 0.000
Ni1 0.198 0.198 0.500
# Energy relative to the elements = 0.035 eV/atom
# Density = 6.5 g cm⁻³
# N(E_F) = 1.2126 states/eV/atom

[6]
# LiGaNi2 PBE optimized geometry
data_LiGaNi2
_chemical_formula_sum 'Li1 Ga1 Ni2'
_cell_length_a 3.823
_cell_length_b 3.823
_cell_length_c 3.189
_cell_angle_alpha 90.00
_cell_angle_beta 90.00
_cell_angle_gamma 90.00
_space_group_name_H-M_alt 'P 4/m m m'
_space_group_IT_number 123
_space_group_name_Hall '-P 4 2'
loop_
_atom_site_label
_atom_site_fract_x
_atom_site_fract_y
_atom_site_fract_z
Li1 0.000 0.000 0.000
Ga1 0.500 0.500 0.000
Ni1 0.000 0.500 0.500
# Energy relative to the elements = -0.297 eV/atom
# Density = 6.9 g cm⁻³
# N(E_F) = 0.1721 states/eV/atom

[7]
# LiGa4Ni2 PBE optimized geometry
data_LiGa4Ni2
_chemical_formula_sum 'Li2 Ga8 Ni4'
_cell_length_a 4.411
_cell_length_b 4.411
_cell_length_c 12.019
_cell_angle_alpha 90.00
_cell_angle_beta 90.00
_cell_angle_gamma 90.00
_space_group_name_H-M_alt 'I 4/m m m'
_space_group_IT_number 139
_space_group_name_Hall '-I 4 2'
loop_
_atom_site_label
_atom_site_fract_x
_atom_site_fract_y
_atom_site_fract_z
Li1 0.000 0.000 0.000
Ga1 0.000 0.000 0.205
Ga2 0.000 0.500 0.000
Ni1 0.000 0.000 0.400
# Energy relative to the elements = 0.168 eV/atom
# ΔE to the lowest computed polymorph = 543 meV/atom
# Density = 5.7 g cm⁻³
# N(E_F) = 0.3410 states/eV/atom

[8]
# LiGa2Ni4 PBE optimized geometry
data_LiGa2Ni4
_chemical_formula_sum 'Li2 Ga4 Ni8'
_cell_length_a 10.906
_cell_length_b 4.259
_cell_length_c 4.259
_cell_angle_alpha 90.00
_cell_angle_beta 112.77
_cell_angle_gamma 90.00
_space_group_name_H-M_alt 'C 1 2/m 1'
_space_group_IT_number 12
_space_group_name_Hall '-C 2y'
loop_
_atom_site_label
_atom_site_fract_x
_atom_site_fract_y
_atom_site_fract_z
Li1 0.000 0.000 0.000
Ga1 0.135 0.500 0.635
Ni1 0.000 0.000 0.500
Ni2 0.000 0.500 0.000
Ni3 0.250 0.000 0.751
# Energy relative to the elements = -0.001 eV/atom
# ΔE to the lowest computed polymorph = 0 meV/atom
# Density = 6.9 g cm⁻³
# N(E_F) = 0.6537 states/eV/atom

[9]
# Li3Ga3Ni2 PBE optimized geometry
data_Li3Ga3Ni2
_chemical_formula_sum 'Li3 Ga3 Ni2'
_cell_length_a 3.981
_cell_length_b 4.001
_cell_length_c 7.457
_cell_angle_alpha 105.30
_cell_angle_beta 105.44
_cell_angle_gamma 90.19
_space_group_name_H-M_alt 'P -1'
_space_group_IT_number 2
_space_group_name_Hall '-P 1'
loop_
_atom_site_label
_atom_site_fract_x
_atom_site_fract_y
_atom_site_fract_z
Li1 0.000 0.000 0.000
Li2 0.133 0.634 0.266
Ga1 0.351 0.850 0.703
Ga2 0.500 0.500 0.000
Ni1 0.247 0.246 0.493
# Energy relative to the elements = -0.302 eV/atom
# ΔE to the lowest computed polymorph = 49 meV/atom
# Density = 5.2 g cm⁻³
# N(E_F) = 0.4505 states/eV/atom

[10]
# LiGa2Ni5 PBE optimized geometry
data_LiGa2Ni5
_chemical_formula_sum 'Li2 Ga4 Ni10'
_cell_length_a 2.629
_cell_length_b 7.629
_cell_length_c 9.719
_cell_angle_alpha 90.00
_cell_angle_beta 90.00
_cell_angle_gamma 90.00
_space_group_name_H-M_alt 'I m m m'
_space_group_IT_number 71
_space_group_name_Hall '-I 2 2'
loop_
_atom_site_label
_atom_site_fract_x
_atom_site_fract_y
_atom_site_fract_z
Li1 0.000 0.000 0.000
Ga1 0.000 0.500 0.254
Ni1 0.000 0.226 0.371
Ni2 0.000 0.500 0.000
# Energy relative to the elements = -0.189 eV/atom
# Density = 7.5 g cm⁻³
# N(E_F) = 1.0419 states/eV/atom

[11]
# LiGa4Ni5 PBE optimized geometry
data_LiGa4Ni5
_chemical_formula_sum 'Li1 Ga4 Ni5'
_cell_length_a 2.892
_cell_length_b 3.001
_cell_length_c 14.033
_cell_angle_alpha 90.00
_cell_angle_beta 90.00
_cell_angle_gamma 90.00
_space_group_name_H-M_alt 'P m m m'
_space_group_IT_number 47
_space_group_name_Hall '-P 2 2'
loop_
_atom_site_label
_atom_site_fract_x
_atom_site_fract_y
_atom_site_fract_z
Li1 0.000 0.000 0.000
Ga1 0.000 0.000 0.192
Ga2 0.000 0.000 0.398
Ni1 0.500 0.500 0.099
Ni2 0.500 0.500 0.296
Ni3 0.500 0.500 0.500
# Energy relative to the elements = -0.312 eV/atom
# ΔE to the lowest computed polymorph = 0 meV/atom
# Density = 7.9 g cm⁻³
# N(E_F) = 0.5081 states/eV/atom

[12]
# LiGaNi2 PBE optimized geometry
data_LiGaNi2
_chemical_formula_sum 'Li4 Ga4 Ni8'
_cell_length_a 6.415
_cell_length_b 6.415
_cell_length_c 5.033
_cell_angle_alpha 90.00
_cell_angle_beta 90.00
_cell_angle_gamma 90.00
_space_group_name_H-M_alt 'I -4 2 d'
_space_group_IT_number 122
_space_group_name_Hall 'I -4 2bw'
loop_
_atom_site_label
_atom_site_fract_x
_atom_site_fract_y
_atom_site_fract_z
Li1 0.000 0.000 0.000
Ga1 0.000 0.000 0.500
Ni1 0.246 0.750 0.625
# Energy relative to the elements = 0.061 eV/atom
# Density = 6.2 g cm⁻³
# N(E_F) = 0.3696 states/eV/atom

Number 1: E_tot -50.39 eV/cell. Number 2: E_tot -50.81 eV/cell. Number 3: E_tot -33.17 eV/cell. Number 4: E_tot -64.88 eV/cell. Number 5: E_tot -59.47 eV/cell. Number 6: E_tot -17.69 eV/cell. Number 7: E_tot -48.82 eV/cell. Number 8: E_tot -62.20 eV/cell. Number 9: E_tot -28.80 eV/cell. Number 10: E_tot -76.77 eV/cell. Number 11: E_tot -46.04 eV/cell. Number 12: E_tot -65.03 eV/cell.